Density functional theory data (PBE with a Hubbard U) for crystalline PmMn2SnO6 at its relaxed geometry.

Unit cell a=5.583 b=5.387 c=5.981 alpha=61.55 beta=60.65 gamma=59.93
Fractional coordinates of all 10 atoms:
O 0.145 0.357 0.770
O 0.355 0.739 0.769
O 0.932 0.621 0.227
O 0.625 0.225 0.216
O 0.226 0.924 0.255
O 0.715 0.161 0.746
Sn 0.322 0.312 0.046
Mn 0.530 0.524 0.417
Mn 0.008 0.009 0.965
Pm 0.804 0.789 0.604

Summary:
Total magnetic moment (μB/atom): 0.90
DFT total energy (eV per atom): -7.40